Run a
AcTb2Ho: optimized geometry, GGA-PBE.

Geometry as POSCAR:
```
AcTb2Ho
1.0
-4.544 0.671 2.425
0.629 -4.507 2.425
2.417 2.416 3.862
Ac Tb Ho
1 2 1
Direct
0.500 0.000 0.000
0.000 0.000 0.500
0.000 0.500 0.000
0.500 0.500 0.500
```

Calculated values
Space-group type: P4/mmm, No. 123
Fermi-level density of states: 1.642 states/eV/atom
Volume: 138 Å³/cell



Run b
AcTb2Ho: optimized geometry, GGA-PBE.

Geometry as POSCAR:
```
AcTb2Ho
1.0
-3.372 -4.752 0.027
2.356 -5.249 -0.923
0.394 -3.827 4.376
Ac Tb Ho
1 2 1
Direct
0.500 0.500 0.500
0.250 0.250 0.250
0.750 0.750 0.750
0.000 0.000 0.000
```

Calculated values
Space-group type: Fm-3m, No. 225
Fermi-level density of states: 1.878 states/eV/atom
Volume: 140 Å³/cell



In order of decreasing stability: run a, run b.



Run a
AcTb2Ho2: optimized geometry, GGA-PBE.

Geometry as POSCAR:
```
AcTb2Ho2
1.0
3.623 0.000 0.000
-1.811 8.505 0.000
0.000 0.000 11.412
Ac Tb Ho
2 4 4
Direct
0.598 0.196 0.021
0.402 0.804 0.521
0.293 0.585 0.072
0.910 0.821 0.886
0.707 0.415 0.572
0.090 0.179 0.386
0.941 0.882 0.197
0.239 0.479 0.810
0.059 0.118 0.697
0.761 0.521 0.310
```

Calculated values
Space-group type: Cmc2_1, No. 36
Fermi-level density of states: 1.291 states/eV/atom
Volume: 352 Å³/cell



Run b
AcTb2Ho2: optimized geometry, GGA-PBE.

Geometry as POSCAR:
```
AcTb2Ho2
1.0
8.259 -3.290 0.000
-6.284 6.288 0.000
-0.987 -1.499 11.670
Ac Tb Ho
2 4 4
Direct
0.750 0.250 0.500
0.500 0.500 0.000
0.422 0.578 0.500
0.172 0.828 0.000
0.078 0.922 0.500
0.828 0.172 0.000
0.125 0.375 0.750
0.625 0.375 0.250
0.625 0.375 0.750
0.625 0.875 0.250
```

Calculated values
Space-group type: Fddd, No. 70
Fermi-level density of states: 1.798 states/eV/atom
Volume: 365 Å³/cell



In order of decreasing stability: run a, run b.



Run a
AcTb6Ho4: optimized geometry, GGA-PBE.

Geometry as POSCAR:
```
AcTb6Ho4
1.0
-1.076 6.499 -4.183
-7.442 0.267 2.329
5.974 0.166 6.000
Ac Tb Ho
1 6 4
Direct
0.500 0.500 0.000
0.949 0.433 0.383
0.433 0.949 0.383
0.567 0.567 0.617
0.000 0.500 0.000
0.051 0.051 0.617
0.500 0.000 0.000
0.087 0.764 0.851
0.913 0.913 0.149
0.764 0.087 0.851
0.236 0.236 0.149
```

Calculated values
Space-group type: I-42m, No. 121
Fermi-level density of states: 1.463 states/eV/atom
Volume: 391 Å³/cell



Run b
AcTb6Ho4: optimized geometry, GGA-PBE.

Geometry as POSCAR:
```
AcTb6Ho4
1.0
5.831 0.000 0.000
-2.915 4.848 0.000
0.000 0.000 25.632
Ac Tb Ho
2 12 8
Direct
0.794 0.589 0.250
0.206 0.411 0.750
0.500 0.000 0.000
0.500 0.000 0.500
0.126 0.252 0.321
0.874 0.748 0.679
0.874 0.748 0.821
0.126 0.252 0.179
0.799 0.598 0.402
0.201 0.402 0.598
0.201 0.402 0.902
0.799 0.598 0.098
0.457 0.913 0.250
0.543 0.087 0.750
0.848 0.697 0.542
0.456 0.911 0.122
0.152 0.303 0.458
0.544 0.089 0.878
0.848 0.697 0.958
0.152 0.303 0.042
0.544 0.089 0.622
0.456 0.911 0.378
```

Calculated values
Space-group type: Cmcm, No. 63
Fermi-level density of states: 1.879 states/eV/atom
Volume: 725 Å³/cell



In order of decreasing stability: run b, run a.